LiTlPd4 | PBE | optimized geometry

Formation energy   -0.256 eV per atom
V   97 Å³/f.u.
Space group   C2/m
Magnetization   0.000 μB per atom
E   -4.431 eV/atom

```
LiTlPd4
1.0
-3.684 0.597 1.420
-0.890 -2.289 4.266
-0.662 6.165 1.304
Li Tl Pd
1 1 4
direct
0.000 0.000 0.000 Li
0.500 0.500 0.500 Tl
0.831 0.498 0.839 Pd
0.339 0.998 0.324 Pd
0.169 0.502 0.161 Pd
0.661 0.002 0.676 Pd
```